(1)
Computed, not measured: a geometry-optimized Gd2TmAu structure at the PBE-GGA level of DFT.

```
data_Gd2TmAu
_chemical_formula_sum 'Gd2 Tm1 Au1'
_symmetry_space_group_name_H-M 'P 1'
_symmetry_Int_Tables_number 1
_symmetry_space_group_name_Hall 'P 1'
_cell_length_a 3.634
_cell_length_b 3.634
_cell_length_c 8.481
_cell_angle_alpha 90.00
_cell_angle_beta 90.00
_cell_angle_gamma 90.00
loop_
_atom_site_label
_atom_site_fract_x
_atom_site_fract_y
_atom_site_fract_z
Gd1 0.000 0.000 0.212
Gd2 0.000 0.000 0.788
Tm1 0.500 0.500 0.500
Au1 0.500 0.500 0.000
```

Output
Total DFT energy (no corrections): -9.3548 eV per atom
E_form: -0.377 eV/atom
Space group: P4/mmm (123)

***

(2)
Computed, not measured: a geometry-optimized GdTmAu structure at the PBE-GGA level of DFT.

```
data_GdTmAu
_chemical_formula_sum 'Gd1 Tm1 Au1'
_symmetry_space_group_name_H-M 'P 1'
_symmetry_Int_Tables_number 1
_symmetry_space_group_name_Hall 'P 1'
_cell_length_a 4.883
_cell_length_b 4.883
_cell_length_c 3.853
_cell_angle_alpha 90.00
_cell_angle_beta 90.00
_cell_angle_gamma 120.00
loop_
_atom_site_label
_atom_site_fract_x
_atom_site_fract_y
_atom_site_fract_z
Gd1 0.000 0.000 0.000
Tm1 0.333 0.667 0.524
Au1 0.667 0.333 0.326
```

Output
Total DFT energy (no corrections): -7.6946 eV per atom
E_form: -0.418 eV/atom
Space group: P3m1 (156)

***

(3)
Computed, not measured: a geometry-optimized Gd2TmAu structure at the PBE-GGA level of DFT.

```
data_Gd2TmAu
_chemical_formula_sum 'Gd6 Tm3 Au3'
_symmetry_space_group_name_H-M 'P 1'
_symmetry_Int_Tables_number 1
_symmetry_space_group_name_Hall 'P 1'
_cell_length_a 3.489
_cell_length_b 3.489
_cell_length_c 33.989
_cell_angle_alpha 90.00
_cell_angle_beta 90.00
_cell_angle_gamma 120.00
loop_
_atom_site_label
_atom_site_fract_x
_atom_site_fract_y
_atom_site_fract_z
Gd1 0.000 0.000 0.084
Gd2 0.000 0.000 0.916
Gd3 0.333 0.667 0.583
Gd4 0.333 0.667 0.750
Gd5 0.667 0.333 0.250
Gd6 0.667 0.333 0.417
Tm1 0.000 0.000 0.500
Tm2 0.333 0.667 0.167
Tm3 0.667 0.333 0.833
Au1 0.000 0.000 0.000
Au2 0.333 0.667 0.667
Au3 0.667 0.333 0.333
```

Output
Total DFT energy (no corrections): -8.8406 eV per atom
E_form: 0.137 eV/atom
Space group: R-3m (166)

***

(4)
Computed, not measured: a geometry-optimized GdTmAu structure at the PBE-GGA level of DFT.

```
data_GdTmAu
_chemical_formula_sum 'Gd2 Tm2 Au2'
_symmetry_space_group_name_H-M 'P 1'
_symmetry_Int_Tables_number 1
_symmetry_space_group_name_Hall 'P 1'
_cell_length_a 3.589
_cell_length_b 3.589
_cell_length_c 12.209
_cell_angle_alpha 90.00
_cell_angle_beta 90.00
_cell_angle_gamma 90.00
loop_
_atom_site_label
_atom_site_fract_x
_atom_site_fract_y
_atom_site_fract_z
Gd1 0.000 0.000 0.000
Gd2 0.500 0.500 0.500
Tm1 0.000 0.000 0.709
Tm2 0.500 0.500 0.209
Au1 0.000 0.000 0.341
Au2 0.500 0.500 0.841
```

Output
Total DFT energy (no corrections): -7.8376 eV per atom
E_form: -0.561 eV/atom
Space group: I4mm (107)

***

(5)
Computed, not measured: a geometry-optimized Gd2TmAu structure at the PBE-GGA level of DFT.

```
data_Gd2TmAu
_chemical_formula_sum 'Gd2 Tm1 Au1'
_symmetry_space_group_name_H-M 'P 1'
_symmetry_Int_Tables_number 1
_symmetry_space_group_name_Hall 'P 1'
_cell_length_a 4.667
_cell_length_b 4.667
_cell_length_c 4.844
_cell_angle_alpha 90.00
_cell_angle_beta 90.00
_cell_angle_gamma 90.00
loop_
_atom_site_label
_atom_site_fract_x
_atom_site_fract_y
_atom_site_fract_z
Gd1 0.000 0.500 0.000
Gd2 0.500 0.000 0.000
Tm1 0.000 0.000 0.500
Au1 0.500 0.500 0.500
```

Output
Total DFT energy (no corrections): -9.2427 eV per atom
E_form: -0.265 eV/atom
Space group: P4/mmm (123)

***

(6)
Computed, not measured: a geometry-optimized GdTmZnAu structure at the PBE-GGA level of DFT.

```
data_GdTmZnAu
_chemical_formula_sum 'Gd4 Tm4 Zn4 Au4'
_symmetry_space_group_name_H-M 'P 1'
_symmetry_Int_Tables_number 1
_symmetry_space_group_name_Hall 'P 1'
_cell_length_a 7.171
_cell_length_b 7.171
_cell_length_c 7.171
_cell_angle_alpha 90.00
_cell_angle_beta 90.00
_cell_angle_gamma 90.00
loop_
_atom_site_label
_atom_site_fract_x
_atom_site_fract_y
_atom_site_fract_z
Gd1 0.000 0.000 0.000
Gd2 0.000 0.500 0.500
Gd3 0.500 0.000 0.500
Gd4 0.500 0.500 0.000
Tm1 0.000 0.000 0.500
Tm2 0.000 0.500 0.000
Tm3 0.500 0.000 0.000
Tm4 0.500 0.500 0.500
Zn1 0.250 0.250 0.750
Zn2 0.250 0.750 0.250
Zn3 0.750 0.250 0.250
Zn4 0.750 0.750 0.750
Au1 0.250 0.250 0.250
Au2 0.250 0.750 0.750
Au3 0.750 0.250 0.750
Au4 0.750 0.750 0.250
```

Output
Total DFT energy (no corrections): -6.3683 eV per atom
E_form: -0.592 eV/atom
Space group: F-43m (216)

***

(7)
Computed, not measured: a geometry-optimized Gd2YAu structure at the PBE-GGA level of DFT.

```
data_Gd2YAu
_chemical_formula_sum 'Gd6 Y3 Au3'
_symmetry_space_group_name_H-M 'P 1'
_symmetry_Int_Tables_number 1
_symmetry_space_group_name_Hall 'P 1'
_cell_length_a 3.692
_cell_length_b 3.692
_cell_length_c 30.387
_cell_angle_alpha 90.00
_cell_angle_beta 90.00
_cell_angle_gamma 120.00
loop_
_atom_site_label
_atom_site_fract_x
_atom_site_fract_y
_atom_site_fract_z
Gd1 0.000 0.000 0.238
Gd2 0.000 0.000 0.762
Gd3 0.333 0.667 0.429
Gd4 0.333 0.667 0.904
Gd5 0.667 0.333 0.096
Gd6 0.667 0.333 0.571
Y1 0.000 0.000 0.000
Y2 0.333 0.667 0.667
Y3 0.667 0.333 0.333
Au1 0.000 0.000 0.500
Au2 0.333 0.667 0.167
Au3 0.667 0.333 0.833
```

Output
Total DFT energy (no corrections): -9.7405 eV per atom
E_form: -0.265 eV/atom
Space group: R-3m (166)

***

(8)
Computed, not measured: a geometry-optimized Gd2YAu structure at the PBE-GGA level of DFT.

```
data_Gd2YAu
_chemical_formula_sum 'Gd2 Y1 Au1'
_symmetry_space_group_name_H-M 'P 1'
_symmetry_Int_Tables_number 1
_symmetry_space_group_name_Hall 'P 1'
_cell_length_a 3.642
_cell_length_b 3.642
_cell_length_c 8.641
_cell_angle_alpha 90.00
_cell_angle_beta 90.00
_cell_angle_gamma 90.00
loop_
_atom_site_label
_atom_site_fract_x
_atom_site_fract_y
_atom_site_fract_z
Gd1 0.000 0.000 0.207
Gd2 0.000 0.000 0.793
Y1 0.500 0.500 0.500
Au1 0.500 0.500 0.000
```

Output
Total DFT energy (no corrections): -9.8599 eV per atom
E_form: -0.384 eV/atom
Space group: P4/mmm (123)